Nd2Y5Er12 (PBE-GGA, relaxed); SG = P-1; ΔE to the lowest computed polymorph = 0 meV per atom; magnetic moment = 0.0 μB/f.u.; crystal system = triclinic; ΔH_f (0 K) = 25 meV per atom
1.0
5.923 1.597 -0.186
-1.439 8.523 -6.163
-0.161 -1.901 12.620
Nd Er Y
2 12 5
direct
0.581 0.843 0.816
0.419 0.157 0.184
0.947 0.105 0.290
0.053 0.895 0.710
0.475 0.052 0.396
0.895 0.212 0.080
0.105 0.788 0.920
0.632 0.736 0.026
0.525 0.948 0.604
0.317 0.367 0.763
0.210 0.580 0.341
0.368 0.264 0.974
0.790 0.420 0.659
0.683 0.633 0.237
0.738 0.527 0.447
0.262 0.473 0.553
0.841 0.316 0.869
0.159 0.684 0.131
0.000 0.000 0.500